Entry 1:
A relaxed structure of KAg2Sb. Source: the Alexandria database, functional GGA-PBE.

```
KAg2Sb
1.0
4.786 0.000 0.000
0.000 4.786 0.000
0.000 0.000 8.642
K Ag Sb
2 4 2
Direct
0.000 0.000 0.000
0.500 0.500 0.500
0.000 0.000 0.500
0.000 0.500 0.250
0.500 0.000 0.750
0.500 0.500 0.000
0.000 0.500 0.750
0.500 0.000 0.250
```

Output
As for the mass density: 6.3 g/cm³. Its space-group type is I-4m2, No. 119. The crystal system is tetragonal. The calculation puts the formation energy (no corrections) at 121.4 meV/atom. For the total DFT energy (no corrections), the calculation gives -2.609 eV/atom.

=====

Entry 2:
A relaxed structure of KAg3Sb3. Source: the Alexandria database, functional GGA-PBE.

```
KAg3Sb3
1.0
7.715 0.000 0.000
0.000 7.715 0.000
0.000 0.000 7.715
K Ag Sb
2 6 6
Direct
0.000 0.000 0.000
0.500 0.500 0.500
0.000 0.250 0.500
0.000 0.750 0.500
0.250 0.500 0.000
0.500 0.000 0.250
0.500 0.000 0.750
0.750 0.500 0.000
0.000 0.500 0.250
0.000 0.500 0.750
0.250 0.000 0.500
0.500 0.250 0.000
0.500 0.750 0.000
0.750 0.000 0.500
```

Output
As for the mass density: 5.3 g/cm³. Its space-group type is Pm-3n, No. 223. The crystal system is cubic. The calculation puts the formation energy (no corrections) at 76.7 meV/atom. Its energy above the most stable polymorph in this dataset is 0.000 eV/atom. For the total DFT energy (no corrections), the calculation gives -3.069 eV/atom.